# Li4NiSn3P4O16

Li4NiSn3P4O16 at its PBEsol-relaxed geometry (meta-GGA SCAN, Alexandria via LeMat-Bulk).

Results
V: 12.19 Å³ per atom
Raw formation energy: -2.16 eV/atom
Size of the total moment: 1.97 μB per formula unit
Fermi-level density of states: 0.0 states/eV/f.u.

a b c (Å): 4.7413 6.7596 10.6497
angles (deg): 90.00 91.12 90.00
With the nearest neighbours (Å) after each atom.
Space group Pm (No. 6)
Inequivalent atoms, fractional coordinates:
Li: 0.0000 0.2256 0.0000  5 O 2.02-2.20
Li: 0.4401 0.2644 0.4774  6 O 2.06-2.31
Ni: 0.9123 0.5000 0.2651  4 O 1.97-2.08
Sn: 0.0245 0.0000 0.7002  3 O 2.20-2.38
Sn: 0.4033 0.0000 0.2112  6 O 2.38-2.54
Sn: 0.4881 0.5000 0.7731  6 O 2.36-2.60
P: 0.0221 0.5000 0.5527  4 O 1.53-1.57
P: 0.3323 0.5000 0.1007  4 O 1.53-1.57
P: 0.5857 0.0000 0.9208  4 O 1.53-1.57
P: 0.8451 0.0000 0.4119  4 O 1.53-1.57
O: 0.1499 0.5000 0.4192  1 P 1.56
O: 0.1526 0.3192 0.6253  1 P 1.57
O: 0.1681 0.0000 0.4232  1 P 1.53
O: 0.1836 0.3206 0.1650  1 P 1.57
O: 0.2312 0.5000 0.9603  1 P 1.56
O: 0.2671 0.0000 0.9419  1 P 1.53
O: 0.6529 0.5000 0.1154  1 P 1.53
O: 0.6931 0.1841 0.8466  1 P 1.57
O: 0.6994 0.5000 0.5500  1 P 1.53
O: 0.7095 0.0000 0.5457  1 P 1.57
O: 0.7223 0.1855 0.3412  1 P 1.57
O: 0.7457 0.0000 0.0503  1 P 1.56